Density functional theory data (meta-GGA SCAN) for a crystal of TaCoSe2 relaxed with PBEsol.

volume	17.09	Å³ per atom
total energy	-30.833	eV per atom

Structure (POSCAR):
```
TaCoSe2
1.0
3.1394 0.0000 0.0000
1.5697 2.7188 0.0000
1.5697 0.9063 8.0099
Se Co Ta
2 1 1
Cartesian
4.7090 2.7188 2.5570 Se
1.5697 0.9063 5.4529 Se
3.1394 1.8125 4.0049 Co
0.0000 0.0000 0.0000 Ta
```